# TaCdCuBi

An optimized crystal structure of TaCdCuBi (PBE-GGA, OQMD).

a b c (Å): 6.9195 6.9195 6.9195
angles (deg): 90.00 90.00 90.00
With the nearest neighbours (Å) after each atom.
Space group F-43m (No. 216)
One atom of each set of equivalent atoms:
1 Ta 0.0000 0.0000 0.0000 x4  4 Cd 3.00, 4 Cu 3.00
2 Cd 0.2500 0.2500 0.2500 x4  4 Bi 3.00, 4 Ta 3.00
3 Cu 0.2500 0.2500 0.7500 x4  4 Ta 3.00, 4 Bi 3.00
4 Bi 0.0000 0.0000 0.5000 x4  4 Cu 3.00, 4 Cd 3.00

Calculated values
For the offset from the most stable computed form, the calculation gives 139.2 meV per atom. The crystal system is cubic.

=====

# TaCdCuBi

An optimized crystal structure of TaCdCuBi (PBE-GGA, OQMD).

a b c (Å): 6.8609 6.8609 6.8609
angles (deg): 90.00 90.00 90.00
With the nearest neighbours (Å) after each atom.
Space group F-43m (No. 216)
One atom of each set of equivalent atoms:
1 Ta 0.0000 0.0000 0.0000 x4  4 Cd 2.97, 4 Bi 2.97
2 Cd 0.2500 0.2500 0.7500 x4  4 Ta 2.97, 4 Cu 2.97
3 Cu 0.0000 0.0000 0.5000 x4  4 Cd 2.97, 4 Bi 2.97
4 Bi 0.2500 0.2500 0.2500 x4  4 Ta 2.97, 4 Cu 2.97

Calculated values
For the offset from the most stable computed form, the calculation gives 0.0 meV per atom. The crystal system is cubic.

=====

# CdCuBiW

An optimized crystal structure of CdCuBiW (PBE-GGA, OQMD).

a b c (Å): 6.7530 6.7530 6.7530
angles (deg): 90.00 90.00 90.00
With the nearest neighbours (Å) after each atom.
Space group F-43m (No. 216)
One atom of each set of equivalent atoms:
1 Cd 0.0000 0.0000 0.0000 x4  4 Cu 2.92, 4 W 2.92
2 Cu 0.2500 0.2500 0.7500 x4  4 Bi 2.92, 4 Cd 2.92
3 Bi 0.0000 0.0000 0.5000 x4  4 W 2.92, 4 Cu 2.92
4 W 0.2500 0.2500 0.2500 x4  4 Cd 2.92, 4 Bi 2.92

Calculated values
For the offset from the most stable computed form, the calculation gives 0.0 meV per atom. The crystal system is cubic.

=====

# CdCuBiW

An optimized crystal structure of CdCuBiW (PBE-GGA, OQMD).

a b c (Å): 6.8945 6.8945 6.8945
angles (deg): 90.00 90.00 90.00
With the nearest neighbours (Å) after each atom.
Space group F-43m (No. 216)
One atom of each set of equivalent atoms:
1 Cd 0.0000 0.0000 0.0000 x4  4 Bi 2.99, 4 W 2.99
2 Cu 0.0000 0.0000 0.5000 x4  4 W 2.99, 4 Bi 2.99
3 Bi 0.2500 0.2500 0.2500 x4  4 Cd 2.99, 4 Cu 2.99
4 W 0.2500 0.2500 0.7500 x4  4 Cd 2.99, 4 Cu 2.99

Calculated values
For the offset from the most stable computed form, the calculation gives 172.1 meV per atom. The crystal system is cubic.

=====

Calculated total magnetization, 1.2; 0.1; 0.3; 2.6 μB per formula unit (same order as the records).